No. 1
First-principles (PBE) data for a relaxed structure of NaGaSbSe3, as listed in Alexandria via LeMat-Bulk.

a = 8.217 Å, b = 4.504 Å, c = 9.633 Å
α = 90.00°, β = 94.87°, γ = 90.00°
Fractional positions:
Na  0.145  0.250  0.173
Na  0.855  0.750  0.827
Ga  0.110  0.250  0.582
Ga  0.890  0.750  0.418
Sb  0.361  0.750  0.851
Sb  0.639  0.250  0.149
Se  0.132  0.250  0.842
Se  0.199  0.750  0.493
Se  0.387  0.750  0.124
Se  0.613  0.250  0.876
Se  0.801  0.250  0.507
Se  0.868  0.750  0.158

Values from the calculation:
ρ (Mg/m³): 4.2
Space group: P2_1/m
Fermi-level density of states (states/eV/f.u.): 1.6

No. 2
First-principles (PBE) data for a relaxed structure of CsTlSbAs2, as listed in Alexandria via LeMat-Bulk.

a = 8.775 Å, b = 8.775 Å, c = 10.055 Å
α = 99.37°, β = 99.37°, γ = 32.12°
Fractional positions:
Cs  0.137  0.137  0.175
Cs  0.863  0.863  0.825
Tl  0.192  0.192  0.586
Tl  0.808  0.808  0.414
Sb  0.451  0.451  0.317
Sb  0.549  0.549  0.683
As  0.091  0.091  0.802
As  0.390  0.390  0.556
As  0.610  0.610  0.444
As  0.909  0.909  0.198

Values from the calculation:
ρ (Mg/m³): 5.0
Space group: C2/m
Fermi-level density of states (states/eV/f.u.): 1.0

| no. | final energy (eV per atom) | volume (A^3/atom) |
| --- | --- | --- |
| 1 | -3.6557 | 29.6 |
| 2 | -3.4570 | 40.6 |